## ErAlCd (GGA-PBE)

Data for crystalline ErAlCd at its relaxed geometry.

Values from the calculation:
E_tot   -3.2758 eV per atom
Space-group type   I-4m2 (119)
V   143.8 Å³/cell
Spin magnetization   0.00 μB per cell
ΔE_f   -0.202 eV per atom

The structure in POSCAR format:
```
ErAlCd
1.0
-2.092 2.092 8.213
2.092 -2.092 8.213
2.092 2.092 -8.213
Er Al Cd
2 2 2
Direct
0.000 0.000 0.000 Er
0.750 0.250 0.500 Er
0.424 0.424 0.000 Al
0.576 0.576 0.000 Al
0.167 0.667 0.500 Cd
0.333 0.833 0.500 Cd
```